Record 1
4
Lattice="4.383 0.000 -0.029 0.000 3.894 0.000 -2.154 0.000 5.400" Properties=species:S:1:pos:R:3 comment="NdYSi2 (GGA-PBE, optimized geometry)" formation_energy_uncorrected_ev_per_atom=-0.794 dos_at_fermi_per_ev_atom=0.77 de_polymorph_ev_per_fu=0.000 magmom_total_mub_per_fu=0.00 pbc="T T T"
Si -1.149 1.947 4.609
Si -1.161 0.000 3.020
Y 1.046 0.000 5.283
Nd 1.027 1.947 2.265



Record 2
80
Lattice="11.047 0.000 0.000 -3.682 10.415 0.000 -3.682 -5.207 9.020" Properties=species:S:1:pos:R:3 comment="Nd3Ge5N12 (GGA-PBE, optimized geometry)" formation_energy_uncorrected_ev_per_atom=0.089 dos_at_fermi_per_ev_atom=0.53 magmom_total_mub_per_fu=7.03 pbc="T T T"
N 5.057 5.844 4.672
N 7.223 1.096 0.162
N -3.216 4.571 4.672
N 3.541 1.916 5.378
N 1.983 -1.916 5.378
N 2.467 6.581 0.868
N -0.626 3.834 0.868
N 2.467 3.769 0.755
N 1.375 3.728 6.133
N 1.215 -1.373 8.152
N 8.315 2.445 2.725
N 6.414 -3.741 7.990
N -3.541 4.112 8.858
N 3.216 -1.480 2.887
N -4.308 -0.065 7.396
N 0.890 0.979 5.265
N 2.307 1.480 2.887
N 4.572 7.970 2.725
N -0.890 -2.762 6.295
N -1.983 -4.112 8.858
N 5.665 9.319 0.162
N -0.951 6.186 3.755
N 1.700 7.123 3.642
N -1.375 -0.636 4.348
N -4.633 2.762 6.295
N -0.466 0.844 1.785
N 4.308 -1.438 8.264
N 6.898 0.636 4.348
N -1.215 0.065 7.396
N 0.466 6.687 6.133
N 5.665 3.011 3.480
N -0.626 6.646 0.755
N -2.307 6.051 7.235
N 1.215 1.438 8.264
N 4.308 1.373 8.152
N 5.990 -0.844 1.785
N -2.731 8.948 1.030
N -3.824 7.404 3.480
N 4.633 -0.979 5.265
N 7.990 5.273 1.623
N 4.149 4.364 7.235
N 7.506 -2.196 5.539
N 2.792 4.229 3.755
N 4.897 5.142 1.623
N -1.983 2.196 5.539
N 0.141 3.292 3.642
N 4.572 1.467 1.030
N -0.890 3.741 7.990
Ge -0.921 0.651 5.637
Ge 6.444 -0.651 5.637
Ge 2.762 7.811 2.255
Ge -0.921 2.604 2.255
Ge 4.603 4.557 3.382
Ge 4.603 2.604 6.765
Ge 2.762 1.953 1.127
Ge 5.523 0.000 0.000
Ge 4.603 -3.255 7.892
Ge -1.841 5.207 0.000
Ge 0.000 0.000 0.000
Ge -3.682 2.604 4.510
Ge 0.921 3.255 7.892
Ge -1.841 -2.604 4.510
Ge 1.841 2.604 4.510
Ge 0.921 -2.604 6.765
Ge -0.921 8.462 1.127
Ge 3.682 5.207 0.000
Ge -2.762 5.858 3.382
Ge 3.682 -2.604 4.510
Nd 0.921 5.207 2.255
Nd 0.921 -0.651 3.382
Nd 4.603 0.651 3.382
Nd -4.603 5.207 6.765
Nd 8.285 0.000 2.255
Nd 6.444 3.255 1.127
Nd 6.444 7.160 1.127
Nd -2.762 1.953 7.892
Nd -0.921 4.557 5.637
Nd 2.762 0.000 6.765
Nd -2.762 -1.953 7.892
Nd 2.762 5.858 5.637



Record 3
3
Lattice="-1.085 3.375 -2.889 -4.449 -1.552 -0.142 -0.728 2.891 3.651" Properties=species:S:1:pos:R:3 comment="HgSbPb (GGA-PBE, optimized geometry)" formation_energy_uncorrected_ev_per_atom=0.110 dos_at_fermi_per_ev_atom=0.35 de_polymorph_ev_per_fu=0.089 magmom_total_mub_per_fu=0.00 pbc="T T T"
Sb -4.560 0.650 -1.147
Pb -2.541 3.061 0.911
Hg -3.093 0.066 1.239



Record 4
18
Lattice="-4.449 -0.643 -3.296 -6.656 -4.655 4.521 -6.265 6.630 1.792" Properties=species:S:1:pos:R:3 comment="Cu2WCl6 (GGA-PBE, optimized geometry)" formation_energy_uncorrected_ev_per_atom=-0.581 dos_at_fermi_per_ev_atom=0.49 magmom_total_mub_per_fu=0.16 pbc="T T T"
Cl -7.842 1.331 0.102
Cl -2.731 0.964 -0.416
Cl -8.317 -2.975 1.009
Cl -5.685 -0.300 2.222
Cl -12.351 2.520 4.638
Cl -5.863 3.966 1.057
Cl -9.528 0.001 2.915
Cl -11.507 -2.634 1.960
Cl -9.053 4.307 2.008
Cl -11.685 1.631 0.795
Cl -14.639 0.368 3.433
Cl -5.019 -1.188 -1.622
Cu -8.560 -0.732 0.772
Cu -6.256 1.884 1.865
Cu -11.114 -0.552 1.151
Cu -8.810 2.064 2.245
W -9.970 -4.482 1.890
W -7.400 5.814 1.127



Record 5
10
Lattice="-4.467 -7.239 -0.032 3.398 -3.920 -0.880 1.996 3.959 5.006" Properties=species:S:1:pos:R:3 comment="NaTiO3 (GGA-PBE, optimized geometry)" formation_energy_uncorrected_ev_per_atom=-2.117 dos_at_fermi_per_ev_atom=0.65 magmom_total_mub_per_fu=1.01 pbc="T T T"
O 0.156 -0.083 1.265
O -0.990 -5.081 3.285
O -0.969 -2.587 -0.024
O 0.771 -7.117 2.829
O 1.917 -2.120 0.808
O 1.897 -4.614 4.118
Na 2.933 -3.323 2.513
Na -2.005 -3.877 1.580
Ti 0.350 -1.440 -0.098
Ti 0.577 -5.760 4.191



Record 6
20
Lattice="6.316 0.451 0.468 2.506 7.357 0.345 2.506 0.072 7.365" Properties=species:S:1:pos:R:3 comment="CuSe2O6F (GGA-PBE, optimized geometry)" formation_energy_uncorrected_ev_per_atom=-0.512 dos_at_fermi_per_ev_atom=0.20 magmom_total_mub_per_fu=1.16 pbc="T T T"
F 7.243 7.678 0.712
F 4.085 0.202 7.465
O 3.253 0.399 4.828
O 6.410 5.035 0.812
O 7.749 2.307 2.988
O 3.579 5.572 5.190
O 6.736 5.205 5.995
O 2.274 4.494 2.109
O 4.917 2.844 7.365
O 4.591 2.675 2.183
O 8.075 7.480 3.349
O 9.053 3.386 6.068
O 5.895 5.713 3.375
O 5.432 2.167 4.802
Se 2.501 2.897 1.683
Se 5.668 6.080 4.987
Se 8.826 4.983 6.494
Se 5.659 1.800 3.191
Cu 4.085 1.512 6.203
Cu 7.243 6.368 1.974



Record 7
13
Lattice="7.797 0.000 0.000 3.899 6.752 0.000 3.899 2.251 6.366" Properties=species:S:1:pos:R:3 comment="KZr4S8 (GGA-PBE, optimized geometry)" formation_energy_uncorrected_ev_per_atom=-1.442 dos_at_fermi_per_ev_atom=0.24 de_polymorph_ev_per_fu=1.839 magmom_total_mub_per_fu=0.00 pbc="T T T"
S 7.797 2.591 3.859
S 7.797 4.502 1.157
S 3.899 4.317 0.861
S 9.452 5.457 3.859
S 3.899 2.251 3.783
S 5.688 1.218 0.861
S 6.143 5.457 3.859
S 2.109 1.218 0.861
Zr 7.797 4.502 5.634
Zr 7.797 6.813 2.366
Zr 5.796 3.346 2.366
Zr 9.798 3.346 2.366
K 11.696 6.752 4.775



Record 8
5
Lattice="-4.256 -3.720 -0.401 2.590 -3.367 3.752 -2.701 2.634 4.228" Properties=species:S:1:pos:R:3 comment="SrBe3Tl (GGA-PBE, optimized geometry)" dos_at_fermi_per_ev_atom=1.68 delta_e_f_ev_per_atom=1.886 de_polymorph_ev_per_fu=5.239 magmom_total_mub_per_fu=0.00 pbc="T T T"
Be 1.295 -1.683 1.876
Be -2.128 -1.860 -0.200
Be -1.351 1.317 2.114
Tl -2.184 -2.226 3.790
Sr 0.000 0.000 0.000



Record 9
22
Lattice="5.696 0.000 0.000 -2.848 4.802 0.000 0.000 0.000 25.641" Properties=species:S:1:pos:R:3 comment="Tb4PmHo6 (GGA-PBE, optimized geometry)" dos_at_fermi_per_ev_atom=1.80 delta_e_f_ev_per_atom=0.123 de_polymorph_ev_per_fu=0.000 magmom_total_mub_per_fu=0.00 pbc="T T T"
Ho 0.000 4.619 6.410
Ho 2.848 3.415 20.997
Ho 2.848 3.415 17.464
Ho 2.848 2.990 2.641
Ho 0.000 1.812 15.461
Ho 2.848 0.183 19.230
Ho 0.000 1.387 4.643
Ho 0.000 1.812 23.000
Ho 2.848 0.000 0.000
Ho 2.848 0.000 12.820
Ho 2.848 2.990 10.180
Ho 0.000 1.387 8.177
Tb 0.000 1.515 1.085
Tb 0.000 4.536 3.108
Tb 2.848 0.267 15.928
Tb 2.848 3.287 13.905
Tb 2.848 0.267 22.533
Tb 2.848 3.287 24.556
Tb 0.000 1.515 11.736
Tb 0.000 4.536 9.713
Pm 2.848 3.027 6.410
Pm 0.000 1.775 19.230



Record 10
4
Lattice="3.691 0.000 0.000 0.000 3.691 0.000 0.000 0.000 4.038" Properties=species:S:1:pos:R:3 comment="Cu2OsW (GGA-PBE, optimized geometry)" dos_at_fermi_per_ev_atom=0.50 delta_e_f_ev_per_atom=0.331 de_polymorph_ev_per_fu=0.440 magmom_total_mub_per_fu=0.00 pbc="T T T"
W 0.000 1.846 2.019
Cu 1.846 1.846 0.000
Cu 0.000 0.000 0.000
Os 1.846 0.000 2.019



Record 11
14
Lattice="4.034 0.000 0.000 0.000 9.590 -0.234 0.000 0.363 15.326" Properties=species:S:1:pos:R:3 comment="DyScI5 (GGA-PBE, optimized geometry)" formation_energy_uncorrected_ev_per_atom=-1.214 dos_at_fermi_per_ev_atom=0.11 magmom_total_mub_per_fu=1.01 pbc="T T T"
Sc 3.026 0.816 2.120
Sc 1.009 9.137 12.971
I 3.026 5.582 4.148
I 1.009 8.397 0.868
I 1.009 4.372 10.943
I 1.009 7.132 8.110
I 3.026 1.556 14.223
I 3.026 9.624 10.701
I 3.026 2.821 6.981
I 1.009 3.004 1.695
I 1.009 0.329 4.390
I 3.026 6.949 13.397
Dy 3.026 6.568 10.315
Dy 1.009 3.386 4.777



Record 12
20
Lattice="3.898 2.059 9.173 -5.674 4.742 6.993 -3.288 -5.080 8.184" Properties=species:S:1:pos:R:3 comment="LaY3Ru (GGA-PBE, optimized geometry)" dos_at_fermi_per_ev_atom=1.12 delta_e_f_ev_per_atom=0.227 de_polymorph_ev_per_fu=2.064 magmom_total_mub_per_fu=1.85 pbc="T T T"
La -0.328 -1.295 11.722
La -5.114 0.046 10.632
La -1.521 3.616 11.127
La -3.165 1.076 15.219
Ru -2.277 -2.325 7.136
Ru 1.316 1.245 7.630
Ru -0.633 0.215 3.044
Ru -3.470 2.586 6.540
Y -0.090 -1.022 8.026
Y -2.059 4.578 14.673
Y -0.565 -1.569 15.418
Y -6.556 0.110 14.054
Y 1.140 0.879 4.964
Y -4.499 3.290 8.932
Y -3.005 -2.858 9.677
Y -3.672 -0.018 7.211
Y -0.983 2.653 7.581
Y -2.442 1.882 4.149
Y 1.492 1.611 10.296
Y -1.549 -1.792 4.594